! ZrPtAu, relaxed, DFT PBE; values from VASP
&SYSTEM
  ibrav = 0, nat = 3, ntyp = 3
/
ATOMIC_SPECIES
Au 196.97 Au.upf
Zr 91.22 Zr.upf
Pt 195.08 Pt.upf
CELL_PARAMETERS angstrom
1.843 -2.131 -2.155
-1.999 1.042 -2.739
2.904 3.816 1.629
ATOMIC_POSITIONS crystal
Au 0.616 0.616 0.232
Zr 0.943 0.943 0.886
Pt 0.291 0.291 0.581
! Distance to the lowest polymorph of the same formula: 15.2 meV per atom
! Formation energy from the elements: -2.63 eV per formula unit



! Zr4PtAu, relaxed, DFT PBE; values from VASP
&SYSTEM
  ibrav = 0, nat = 6, ntyp = 3
/
ATOMIC_SPECIES
Zr 91.22 Zr.upf
Pt 195.08 Pt.upf
Au 196.97 Au.upf
CELL_PARAMETERS angstrom
0.000 3.947 3.947
3.947 0.000 3.947
3.947 3.947 0.000
ATOMIC_POSITIONS crystal
Zr 0.876 0.375 0.375
Zr 0.375 0.375 0.876
Zr 0.375 0.876 0.375
Zr 0.375 0.375 0.375
Pt 0.000 0.000 0.000
Au 0.750 0.750 0.750
! Distance to the lowest polymorph of the same formula: 645.2 meV per atom
! Formation energy from the elements: 0.52 eV per formula unit



! ZrPtAu3, relaxed, DFT PBE; values from VASP
&SYSTEM
  ibrav = 0, nat = 5, ntyp = 3
/
ATOMIC_SPECIES
Au 196.97 Au.upf
Zr 91.22 Zr.upf
Pt 195.08 Pt.upf
CELL_PARAMETERS angstrom
5.136 0.000 0.000
0.000 5.136 0.000
0.000 0.000 5.136
ATOMIC_POSITIONS crystal
Au 0.000 0.500 0.000
Au 0.000 0.000 0.500
Au 0.500 0.000 0.000
Zr 0.000 0.000 0.000
Pt 0.500 0.500 0.500
! Distance to the lowest polymorph of the same formula: 491.1 meV per atom
! Formation energy from the elements: 6.01 eV per formula unit



! Zr3PtAu, relaxed, DFT PBE; values from VASP
&SYSTEM
  ibrav = 0, nat = 5, ntyp = 3
/
ATOMIC_SPECIES
Au 196.97 Au.upf
Zr 91.22 Zr.upf
Pt 195.08 Pt.upf
CELL_PARAMETERS angstrom
5.072 0.000 0.000
0.000 5.072 0.000
0.000 0.000 5.072
ATOMIC_POSITIONS crystal
Au 0.500 0.500 0.500
Zr 0.000 0.500 0.000
Zr 0.000 0.000 0.500
Zr 0.500 0.000 0.000
Pt 0.000 0.000 0.000
! Distance to the lowest polymorph of the same formula: 0.0 meV per atom
! Formation energy from the elements: 0.99 eV per formula unit



! ZrPt2Au, relaxed, DFT PBE; values from VASP
&SYSTEM
  ibrav = 0, nat = 4, ntyp = 3
/
ATOMIC_SPECIES
Zr 91.22 Zr.upf
Pt 195.08 Pt.upf
Au 196.97 Au.upf
CELL_PARAMETERS angstrom
1.167 -2.107 4.293
3.229 -3.170 0.389
3.591 1.275 2.471
ATOMIC_POSITIONS crystal
Zr 0.250 0.250 0.250
Pt 0.000 0.000 0.000
Pt 0.500 0.500 0.500
Au 0.750 0.750 0.750
! Formation energy from the elements: -3.00 eV per formula unit



! ZrPtAu, relaxed, DFT PBE; values from VASP
&SYSTEM
  ibrav = 0, nat = 3, ntyp = 3
/
ATOMIC_SPECIES
Au 196.97 Au.upf
Pt 195.08 Pt.upf
Zr 91.22 Zr.upf
CELL_PARAMETERS angstrom
-2.289 3.182 -2.219
-3.694 -1.096 -2.332
-4.056 1.294 1.469
ATOMIC_POSITIONS crystal
Au 0.500 0.500 0.500
Pt 0.750 0.750 0.750
Zr 0.000 0.000 0.000
! Distance to the lowest polymorph of the same formula: 364.3 meV per atom
! Formation energy from the elements: -1.58 eV per formula unit



Question: Look up the formation energy from the elements of the fourth one.
Answer: 0.99 eV per formula unit